Record 1
A relaxed structure of PrNdBiO2, computed with GGA-PBE.

Results
VASP energy: -7.262 eV/atom

Cell: 4.0077 4.0077 13.8607 Å, 90.00 90.00 90.00°
With the nearest neighbours (Å) after each atom.
Sites, in units of the cell vectors:
1 Pr 0.0000 0.0000 0.0000  4 O 2.34
2 Pr 0.5000 0.5000 0.5000  4 O 2.34
3 Nd 0.0000 0.0000 0.6725  4 O 2.32
4 Nd 0.5000 0.5000 0.1725  4 O 2.32
5 Bi 0.0000 0.0000 0.3365  4 Pr 3.63, 4 Nd 3.63, 8 O 3.99-4.02, 4 Bi 4.01
6 Bi 0.5000 0.5000 0.8365  4 Pr 3.63, 4 Nd 3.63, 8 O 3.99-4.02, 4 Bi 4.01
7 O 0.0000 0.5000 0.0878  2 Nd 2.32, 2 Pr 2.34
8 O 0.0000 0.5000 0.5878  2 Nd 2.32, 2 Pr 2.34
9 O 0.5000 0.0000 0.0878  2 Nd 2.32, 2 Pr 2.34
10 O 0.5000 0.0000 0.5878  2 Nd 2.32, 2 Pr 2.34

=====

Record 2
A relaxed structure of LuCo5P3, computed with GGA-PBE.

Results
VASP energy: -7.104 eV/atom

Cell: 11.6355 3.6078 10.2012 Å, 90.00 90.00 90.00°
With the nearest neighbours (Å) after each atom.
Sites, in units of the cell vectors:
1 Lu 0.2031 0.2500 0.0826  6 P 2.75-2.81, 8 Co 2.85-3.06
2 Lu 0.2969 0.7500 0.5826  6 P 2.75-2.81, 8 Co 2.85-3.06
3 Lu 0.7031 0.2500 0.4174  6 P 2.75-2.81, 8 Co 2.85-3.06
4 Lu 0.7969 0.7500 0.9174  6 P 2.75-2.81, 8 Co 2.85-3.06
5 Co 0.0092 0.7500 0.7168  3 P 2.20-2.43
6 Co 0.0135 0.7500 0.0927  4 P 2.25-2.30
7 Co 0.0688 0.7500 0.4672  4 P 2.15-2.21
8 Co 0.1768 0.2500 0.7789  4 P 2.14-2.32
9 Co 0.1990 0.2500 0.3830  4 P 2.23-2.29
10 Co 0.3010 0.7500 0.8830  4 P 2.23-2.29
11 Co 0.3232 0.7500 0.2789  4 P 2.14-2.32
12 Co 0.4312 0.2500 0.9672  4 P 2.15-2.21
13 Co 0.4865 0.2500 0.5927  4 P 2.25-2.30
14 Co 0.4908 0.2500 0.2168  3 P 2.20-2.43
15 Co 0.5092 0.7500 0.7832  3 P 2.20-2.43
16 Co 0.5135 0.7500 0.4073  4 P 2.25-2.30
17 Co 0.5688 0.7500 0.0328  4 P 2.15-2.21
18 Co 0.6768 0.2500 0.7211  4 P 2.14-2.32
19 Co 0.6990 0.2500 0.1170  4 P 2.23-2.29
20 Co 0.8010 0.7500 0.6170  4 P 2.23-2.29
21 Co 0.8232 0.7500 0.2211  4 P 2.14-2.32
22 Co 0.9312 0.2500 0.5328  4 P 2.15-2.21
23 Co 0.9865 0.2500 0.9073  4 P 2.25-2.30
24 Co 0.9908 0.2500 0.2832  3 P 2.20-2.43
25 P 0.1096 0.7500 0.8997  7 Co 2.20-2.32
26 P 0.1129 0.2500 0.5819  5 Co 2.14-2.26
27 P 0.1300 0.7500 0.2686  5 Co 2.15-2.29
28 P 0.3700 0.2500 0.7686  5 Co 2.15-2.29
29 P 0.3871 0.7500 0.0819  5 Co 2.14-2.26
30 P 0.3904 0.2500 0.3997  7 Co 2.20-2.32
31 P 0.6096 0.7500 0.6003  7 Co 2.20-2.32
32 P 0.6129 0.2500 0.9181  5 Co 2.14-2.26
33 P 0.6300 0.7500 0.2314  5 Co 2.15-2.29
34 P 0.8700 0.2500 0.7314  5 Co 2.15-2.29
35 P 0.8871 0.7500 0.4181  5 Co 2.14-2.26
36 P 0.8904 0.2500 0.1003  7 Co 2.20-2.32

=====

Record 3
A relaxed structure of DyErLu2, computed with GGA-PBE.

Results
formation energy from the elements: 0.001 eV/atom

Cell: 5.5231 12.2756 7.0874 Å, 90.00 90.00 90.00°
With the nearest neighbours (Å) after each atom.
Sites, in units of the cell vectors:
1 Dy 0.2500 0.1667 0.0000  8 Lu 3.44-3.54, 4 Er 3.44-3.54
2 Dy 0.2500 0.6667 0.5000  8 Lu 3.44-3.54, 4 Er 3.44-3.54
3 Dy 0.7500 0.3333 0.5000  8 Lu 3.44-3.54, 4 Er 3.44-3.54
4 Dy 0.7500 0.8333 0.0000  8 Lu 3.44-3.54, 4 Er 3.44-3.54
5 Er 0.2500 0.4169 0.2493  6 Lu 3.43-3.55, 2 Er 3.43, 4 Dy 3.44-3.54
6 Er 0.2500 0.9169 0.7493  6 Lu 3.43-3.55, 2 Er 3.43, 4 Dy 3.44-3.54
7 Er 0.7500 0.0831 0.7493  6 Lu 3.43-3.55, 2 Er 3.43, 4 Dy 3.44-3.54
8 Er 0.7500 0.5831 0.2493  6 Lu 3.43-3.55, 2 Er 3.43, 4 Dy 3.44-3.54
9 Lu 0.2500 0.1662 0.5001  4 Er 3.43-3.55, 4 Lu 3.43-3.55, 4 Dy 3.44-3.54
10 Lu 0.2500 0.4169 0.7508  6 Lu 3.43-3.55, 4 Dy 3.44-3.54, 2 Er 3.53-3.55
11 Lu 0.2500 0.6662 0.0001  4 Er 3.43-3.55, 4 Lu 3.43-3.55, 4 Dy 3.44-3.54
12 Lu 0.2500 0.9169 0.2508  6 Lu 3.43-3.55, 4 Dy 3.44-3.54, 2 Er 3.53-3.55
13 Lu 0.7500 0.0831 0.2508  6 Lu 3.43-3.55, 4 Dy 3.44-3.54, 2 Er 3.53-3.55
14 Lu 0.7500 0.3338 0.0001  4 Er 3.43-3.55, 4 Lu 3.43-3.55, 4 Dy 3.44-3.54
15 Lu 0.7500 0.5831 0.7508  6 Lu 3.43-3.55, 4 Dy 3.44-3.54, 2 Er 3.53-3.55
16 Lu 0.7500 0.8338 0.5001  4 Er 3.43-3.55, 4 Lu 3.43-3.55, 4 Dy 3.44-3.54

=====

Record 4
A relaxed structure of KTaTe2AuS, computed with GGA-PBE.

Results
VASP energy: -4.872 eV/atom

Cell: 9.9191 9.9191 9.5240 Å, 90.00 90.00 156.34°
With the nearest neighbours (Å) after each atom.
Sites, in units of the cell vectors:
1 K 0.2477 0.7523 0.7500  2 Au 3.19, 2 Te 3.49
2 K 0.7523 0.2477 0.2500  2 Au 3.19, 2 Te 3.49
3 Ta 0.5000 0.5000 0.0000  2 S 2.38
4 Ta 0.5000 0.5000 0.5000  2 S 2.38
5 Te 0.1068 0.8932 0.5222  1 Au 2.62, 2 Ta 2.91
6 Te 0.1068 0.8932 0.9778  1 Au 2.62, 2 Ta 2.91
7 Te 0.8932 0.1068 0.0222  1 Au 2.62, 2 Ta 2.91
8 Te 0.8932 0.1068 0.4778  1 Au 2.62, 2 Ta 2.91
9 Au 0.1258 0.8742 0.2500  2 Te 2.62
10 Au 0.8742 0.1258 0.7500  2 Te 2.62
11 S 0.4994 0.5006 0.7500  2 Ta 2.38
12 S 0.5006 0.4994 0.2500  2 Ta 2.38